[1]
# Hf2Sc2Cr

An optimized crystal structure of Hf2Sc2Cr (GGA-PBE, Alexandria).

a = 6.639 Å, b = 6.639 Å, c = 4.928 Å
α = 90.00°, β = 90.00°, γ = 90.00°
Last column: magnetic moment on the atom in μB.
Atoms (fractional coordinates):
Sc1 0.335 0.165 0.500  -0.02
Hf1 0.348 0.848 0.000  0.00
Cr1 0.500 0.500 0.000  1.57
Cr2 0.000 0.000 0.000  1.57
Sc2 0.835 0.335 0.500  -0.03
Sc3 0.665 0.835 0.500  -0.02
Hf2 0.152 0.348 0.000  0.00
Hf3 0.848 0.652 0.000  0.00
Sc4 0.165 0.665 0.500  -0.03
Hf4 0.652 0.152 0.000  0.00

Properties
Formation enthalpy at 0 K = 0.35 eV per atom
Magnetization = 3.173 Bohr magnetons per cell
Theoretical density = 7.6 g cm⁻³

[2]
# HfScCr4

An optimized crystal structure of HfScCr4 (GGA-PBE, Alexandria).

a = 5.013 Å, b = 5.013 Å, c = 5.013 Å
α = 60.00°, β = 60.00°, γ = 60.00°
Atoms (fractional coordinates):
Sc1 0.000 0.000 0.000
Cr1 0.625 0.125 0.625
Cr2 0.625 0.625 0.125
Cr3 0.625 0.625 0.625
Cr4 0.125 0.625 0.625
Hf1 0.250 0.250 0.250

Properties
Formation enthalpy at 0 K = 0.00 eV per atom
Magnetization = 0.000 Bohr magnetons per cell
Theoretical density = 8.0 g cm⁻³

theoretical density of number 1 (Hf2Sc2Cr)? 7.6 g cm⁻³

Which value of formation enthalpy at 0 K does entry 2 give? 0.00 eV per atom

What is the formation enthalpy at 0 K in the first record? 0.35 eV per atom

Which of these has the highest theoretical density? HfScCr4